An optimized crystal structure of CsK2MoF6, computed with GGA+U.

## Properties
Energy above the most stable polymorph in this dataset ... 109 meV/atom
Calculated density ... 3.05 g/cm3
Calculated total energy ... -4.796 eV/atom

a b c (Å): 6.872 6.872 6.872
angles (deg): 60.00 60.00 60.00
Last column: magnetic moment on the atom in μB.
Positions (direct):
F 0.216 0.784 0.216  0.02
F 0.784 0.216 0.216  0.02
F 0.784 0.784 0.216  0.02
F 0.216 0.216 0.784  0.02
F 0.784 0.216 0.784  0.02
F 0.216 0.784 0.784  0.02
K 0.750 0.750 0.750  0.00
K 0.250 0.250 0.250  0.00
Cs 0.500 0.500 0.500  0.00
Mo 0.000 0.000 0.000  2.77